Compound: Ac5Ru2I2
Source: Alexandria via LeMat-Bulk
Functional: GGA-PBE
Structure: optimized geometry

abc: 18.0372 8.4870 8.4860
angles: 90.00 90.00 90.00
With the nearest neighbours (Å) after each atom.
Space group Cmce (No. 64)
Unique sites:
Ac1 0.0000 0.0000 0.0000 x4  4 Ru 3.26-3.27
Ac2 0.1051 0.1565 0.3440 x16  3 Ru 3.06-3.18
Ru1 0.0000 0.1437 0.6426 x8  8 Ac 3.06-3.27
I1 0.2150 0.0000 0.0000 x8  7 Ac 3.75-3.88



Compound: Ac4Ru2I
Source: Alexandria via LeMat-Bulk
Functional: GGA-PBE
Structure: optimized geometry

abc: 4.3375 4.3375 46.2681
angles: 90.00 90.00 120.00
With the nearest neighbours (Å) after each atom.
Space group R-3m (No. 166, hexagonal axes)
Unique sites:
Ac1 0.0000 0.0000 0.1271 x6  3 Ru 2.93
Ac2 0.0000 0.0000 0.2742 x6  3 Ru 2.99
Ru1 0.0000 0.0000 0.4277 x6  6 Ac 2.93-2.99
I1 0.0000 0.0000 0.0000 x3  6 Ac 3.71



Number 1: electronic total energy -5.24 eV/atom. Number 2: electronic total energy -5.69 eV/atom.